Computed, not measured: Tm5ThTl6 after structural relaxation at the PBE-GGA level of DFT.

```
data_Tm5ThTl6
_symmetry_space_group_name_H-M 'C 1 2/m 1'
_symmetry_Int_Tables_number 12
_cell_length_a 9.945
_cell_length_b 11.009
_cell_length_c 6.452
_cell_angle_alpha 90.00
_cell_angle_beta 102.05
_cell_angle_gamma 90.00
loop_
_symmetry_equiv_pos_as_xyz
'x,y,z'
'-x,-y,-z'
'-x,y,-z'
'x,-y,z'
'x+1/2,y+1/2,z'
'-x+1/2,-y+1/2,-z'
'-x+1/2,y+1/2,-z'
'x+1/2,-y+1/2,z'
loop_
_atom_site_label
_atom_site_type_symbol
_atom_site_fract_x
_atom_site_fract_y
_atom_site_fract_z
Tm1 Tm 0.000 0.000 0.000
Tm2 Tm 0.000 0.167 0.500
Tm3 Tm 0.000 0.336 0.000
Th1 Th 0.000 0.500 0.500
Tl1 Tl 0.244 0.000 0.756
Tl2 Tl 0.244 0.172 0.243
```

Properties
* DFT formation energy: -181 meV/atom
* total moment: 0.000 μB/f.u.